This record from Alexandria describes an optimized crystal structure of PmPr12Pb3. The functional is GGA-PBE.

abc: 5.0525 5.0525 20.6447
angles: 90.00 90.00 90.00
With the nearest neighbours (Å) after each atom.
Space group P4/mmm (No. 123)
One atom of each set of equivalent atoms:
Pm 0.0000 0.0000 0.0000 x1  12 Pr 3.57-3.72
Pr 0.0000 0.5000 0.1320 x4  8 Pr 3.57-3.72, 2 Pb 3.59, 2 Pm 3.72
Pr 0.0000 0.5000 0.3785 x4  4 Pb 3.56-3.58, 8 Pr 3.56-3.57
Pr 0.5000 0.5000 0.0000 x1  4 Pm 3.57, 8 Pr 3.72
Pr 0.5000 0.5000 0.2567 x2  8 Pr 3.56-3.61, 4 Pb 3.57
Pr 0.5000 0.5000 0.5000 x1  8 Pr 3.56, 4 Pb 3.57
Pb 0.0000 0.0000 0.2555 x2  12 Pr 3.57-3.59
Pb 0.0000 0.0000 0.5000 x1  12 Pr 3.56-3.57

- Crystal system: tetragonal
- E: -4.821 eV/atom
- Total moment: 0.00 μB/f.u.
- DFT formation energy: -0.244 eV per atom